1.
# CaPbBr2 GGA-PBE optimized geometry
data_CaPbBr2
_chemical_formula_sum 'Ca1 Pb1 Br2'
_cell_length_a 3.886
_cell_length_b 4.818
_cell_length_c 6.425
_cell_angle_alpha 90.00
_cell_angle_beta 90.00
_cell_angle_gamma 90.00
_symmetry_space_group_name_H-M 'P m m m'
_symmetry_Int_Tables_number 47
loop_
_symmetry_equiv_pos_as_xyz
'x,y,z'
'-x,-y,-z'
'-x,-y,z'
'x,y,-z'
'x,-y,-z'
'-x,y,z'
'-x,y,-z'
'x,-y,z'
loop_
_atom_site_label
_atom_site_type_symbol
_atom_site_fract_x
_atom_site_fract_y
_atom_site_fract_z
Ca1 Ca 0.000 0.000 0.000
Pb1 Pb 0.500 0.000 0.500
Br1 Br 0.000 0.500 0.500
Br2 Br 0.500 0.500 0.000
# N(E_F)	1.39	states/eV per cell
# uncorrected formation energy	-962.7	meV/atom

=====

2.
# Ca2PbBr6 GGA-PBE optimized geometry
data_Ca2PbBr6
_chemical_formula_sum 'Ca4 Pb2 Br12'
_cell_length_a 18.629
_cell_length_b 4.341
_cell_length_c 8.548
_cell_angle_alpha 90.00
_cell_angle_beta 100.96
_cell_angle_gamma 90.00
_symmetry_space_group_name_H-M 'C 1 2/m 1'
_symmetry_Int_Tables_number 12
loop_
_symmetry_equiv_pos_as_xyz
'x,y,z'
'-x,-y,-z'
'-x,y,-z'
'x,-y,z'
'x+1/2,y+1/2,z'
'-x+1/2,-y+1/2,-z'
'-x+1/2,y+1/2,-z'
'x+1/2,-y+1/2,z'
loop_
_atom_site_label
_atom_site_type_symbol
_atom_site_fract_x
_atom_site_fract_y
_atom_site_fract_z
Ca1 Ca 0.168 0.000 0.337
Pb1 Pb 0.000 0.500 0.000
Br1 Br 0.008 0.000 0.255
Br2 Br 0.167 0.500 0.104
Br3 Br 0.172 0.500 0.570
# N(E_F)	0.00	states/eV per cell
# uncorrected formation energy	-1667.7	meV/atom

=====

3.
# Ca2PbBr GGA-PBE optimized geometry
data_Ca2PbBr
_chemical_formula_sum 'Ca2 Pb1 Br1'
_cell_length_a 4.501
_cell_length_b 4.501
_cell_length_c 6.369
_cell_angle_alpha 90.00
_cell_angle_beta 90.00
_cell_angle_gamma 90.00
_symmetry_space_group_name_H-M 'P 4 m m'
_symmetry_Int_Tables_number 99
loop_
_symmetry_equiv_pos_as_xyz
'x,y,z'
'-y,x,z'
'-x,-y,z'
'y,-x,z'
'-x,y,z'
'y,x,z'
'x,-y,z'
'-y,-x,z'
loop_
_atom_site_label
_atom_site_type_symbol
_atom_site_fract_x
_atom_site_fract_y
_atom_site_fract_z
Ca1 Ca 0.000 0.000 0.000
Ca2 Ca 0.500 0.500 0.499
Pb1 Pb 0.000 0.000 0.500
Br1 Br 0.500 0.500 0.999
# N(E_F)	3.25	states/eV per cell
# uncorrected formation energy	-949.5	meV/atom

=====

4.
# Ca2PbBr GGA-PBE optimized geometry
data_Ca2PbBr
_chemical_formula_sum 'Ca4 Pb2 Br2'
_cell_length_a 8.939
_cell_length_b 3.925
_cell_length_c 9.062
_cell_angle_alpha 90.00
_cell_angle_beta 117.52
_cell_angle_gamma 90.00
_symmetry_space_group_name_H-M 'C 1 2/m 1'
_symmetry_Int_Tables_number 12
loop_
_symmetry_equiv_pos_as_xyz
'x,y,z'
'-x,-y,-z'
'-x,y,-z'
'x,-y,z'
'x+1/2,y+1/2,z'
'-x+1/2,-y+1/2,-z'
'-x+1/2,y+1/2,-z'
'x+1/2,-y+1/2,z'
loop_
_atom_site_label
_atom_site_type_symbol
_atom_site_fract_x
_atom_site_fract_y
_atom_site_fract_z
Ca1 Ca 0.193 0.000 0.280
Pb1 Pb 0.000 0.000 0.500
Br1 Br 0.000 0.500 0.000
# N(E_F)	5.71	states/eV per cell
# uncorrected formation energy	-979.8	meV/atom

=====

5.
# CaPbBr2 GGA-PBE optimized geometry
data_CaPbBr2
_chemical_formula_sum 'Ca3 Pb3 Br6'
_cell_length_a 3.9342
_cell_length_b 3.9342
_cell_length_c 34.2890
_cell_angle_alpha 90.00
_cell_angle_beta 90.00
_cell_angle_gamma 120.00
_symmetry_space_group_name_H-M 'R -3 m'
_symmetry_Int_Tables_number 166
_symmetry_space_group_name_Hall '-R 3 2"'
loop_
_atom_site_label
_atom_site_type_symbol
_atom_site_fract_x
_atom_site_fract_y
_atom_site_fract_z
Ca1 Ca 0.0000 0.0000 0.0000
Pb1 Pb 0.0000 0.0000 0.5000
Br1 Br 0.0000 0.0000 0.3839
# N(E_F)	0.33	states/eV per cell
# uncorrected formation energy	-1219.6	meV/atom

=====

6.
# CaPbBr2 GGA-PBE optimized geometry
data_CaPbBr2
_chemical_formula_sum 'Ca4 Pb4 Br8'
_cell_length_a 7.878
_cell_length_b 7.878
_cell_length_c 7.878
_cell_angle_alpha 90.00
_cell_angle_beta 90.00
_cell_angle_gamma 90.00
_symmetry_space_group_name_H-M 'F -4 3 m'
_symmetry_Int_Tables_number 216
_symmetry_space_group_name_Hall 'F -4 2 3'
loop_
_atom_site_label
_atom_site_type_symbol
_atom_site_fract_x
_atom_site_fract_y
_atom_site_fract_z
Ca1 Ca 0.000 0.000 0.000
Pb1 Pb 0.250 0.250 0.750
Br1 Br 0.000 0.000 0.500
Br2 Br 0.250 0.250 0.250
# N(E_F)	15.76	states/eV per cell
# uncorrected formation energy	-497.8	meV/atom